# Pr4GaNi, relaxed, DFT PBE
# Spin magnetization   0.0 Bohr magnetons per cell
# D(E_F)   1.17 states/eV per atom
# Formation energy   -0.239 eV/atom
# VASP energy   -4.89 eV/atom
data_Pr4GaNi
_space_group_name_H-M_alt 'P 1 21/m 1'
_space_group_IT_number 11
_space_group_name_Hall '-P 2yb'
_cell_length_a 6.3398
_cell_length_b 7.0363
_cell_length_c 8.3334
_cell_angle_alpha 90.00
_cell_angle_beta 109.59
_cell_angle_gamma 90.00
loop_
_atom_site_label
_atom_site_type_symbol
_atom_site_fract_x
_atom_site_fract_y
_atom_site_fract_z
Pr1 Pr 0.0142 0.0023 0.2294
Pr2 Pr 0.4151 0.2500 0.6236
Pr3 Pr 0.4354 0.2500 0.0871
Ga1 Ga 0.2156 0.7500 0.5553
Ni1 Ni 0.2237 0.7500 0.0560



# Pr3Ga8Ni3, relaxed, DFT PBE
# Spin magnetization   0.0 Bohr magnetons per cell
# D(E_F)   0.48 states/eV per atom
# Formation energy   -0.532 eV/atom
# VASP energy   -4.53 eV/atom
data_Pr3Ga8Ni3
_space_group_name_H-M_alt 'C 1 2/m 1'
_space_group_IT_number 12
_space_group_name_Hall '-C 2y'
_cell_length_a 15.8871
_cell_length_b 4.4373
_cell_length_c 8.6938
_cell_angle_alpha 90.00
_cell_angle_beta 121.98
_cell_angle_gamma 90.00
loop_
_atom_site_label
_atom_site_type_symbol
_atom_site_fract_x
_atom_site_fract_y
_atom_site_fract_z
Pr1 Pr 0.0000 0.0000 0.0000
Pr2 Pr 0.2124 0.5000 0.6958
Ga1 Ga 0.0121 0.5000 0.6842
Ga2 Ga 0.1297 0.0000 0.4228
Ga3 Ga 0.1462 0.5000 0.2664
Ga4 Ga 0.1554 0.0000 0.8749
Ni1 Ni 0.0000 0.0000 0.5000
Ni2 Ni 0.1557 0.5000 0.9987



Which of these has the lowest formation energy?
Pr3Ga8Ni3



Which value of spin magnetization does entry 2 give?
0.0 Bohr magnetons per cell



Among the records above, which one has the lowest D(E_F)?
Pr3Ga8Ni3